No. 1
Density functional theory data (PBE) for a geometry-optimized TiCoS structure.

The space group is R-3m (No. 166, hexagonal axes) and the conventional cell measures 3.8194, 3.8194 and 26.4090 Å, with angles of 90.00, 90.00 and 120.00 degrees. Symmetry generates all atoms from Ti at (0.0000, 0.0000, 0.0597), Co at (0.0000, 0.0000, 0.3189) and S at (0.0000, 0.0000, 0.2329).

The calculated density is 4.147 Mg/m³. The magnetic moment comes out at 0.251 μB per atom. The uncorrected formation energy is -0.6835 eV per atom.

No. 2
Density functional theory data (PBE) for a geometry-optimized KCoAsPt structure.

The space group is P4/nmm (No. 129, origin choice 2) and the conventional cell measures 3.725, 3.725 and 12.620 Å, with angles of 90.00, 90.00 and 90.00 degrees. Symmetry generates all atoms from K at (0.250, 0.250, 0.219), Co at (0.250, 0.750, 0.500), As at (0.250, 0.250, 0.608) and Pt at (0.250, 0.750, 0.000).

The calculated density is 6.981 Mg/m³. The value obtained for the calculated formation energy is -0.235 eV/atom. The magnetic moment comes out at 0.000 μB per atom.

No. 3
Density functional theory data (PBE) for a geometry-optimized Pa4Pd6Pt7 structure.

The space group is Im-3m (No. 229) and the conventional cell measures 8.571, 8.571 and 8.571 Å, with angles of 90.00, 90.00 and 90.00 degrees. Symmetry generates all atoms from Pa at (0.250, 0.250, 0.250), Pd at (0.000, 0.000, 0.303), Pt at (0.000, 0.000, 0.000) and Pt at (0.000, 0.250, 0.500).

The calculated density is 15.443 Mg/m³. The value obtained for the calculated formation energy is -0.687 eV/atom. The magnetic moment comes out at 0.073 μB per atom.

No. 4
Density functional theory data (PBE) for a geometry-optimized FeNi structure.

The space group is I-43m (No. 217) and the conventional cell measures 7.139, 7.139 and 7.139 Å, with angles of 90.00, 90.00 and 90.00 degrees. Symmetry generates all atoms from Fe at (0.127, 0.127, 0.127) and Ni at (0.185, 0.185, 0.815).

The calculated density is 4.182 Mg/m³. The value obtained for the calculated formation energy is 1.314 eV/atom. The magnetic moment comes out at 1.852 μB per atom.

No. 5
Density functional theory data (PBE) for a geometry-optimized KPb2ClO2 structure.

The space group is P2_1/m (No. 11) and the conventional cell measures 7.230, 6.329 and 7.559 Å, with angles of 90.00, 91.58 and 90.00 degrees. Symmetry generates all atoms from K at (0.128, 0.250, 0.093), Pb at (0.122, 0.250, 0.606), Pb at (0.355, 0.750, 0.753), Cl at (0.288, 0.750, 0.372) and O at (0.156, 0.501, 0.800).

The calculated density is 5.004 Mg/m³. The magnetic moment comes out at 0.000 μB per atom. The uncorrected formation energy is -1.2321 eV per atom.

No. 6
Density functional theory data (PBE) for a geometry-optimized AlV4W2 structure.

The space group is Cmmm (No. 65) and the conventional cell measures 3.069, 22.168 and 3.061 Å, with angles of 90.00, 90.00 and 90.00 degrees. Symmetry generates all atoms from Al at (0.000, 0.000, 0.000), V at (0.000, 0.132, 0.000), V at (0.000, 0.430, 0.500) and W at (0.000, 0.298, 0.500).

The calculated density is 9.542 Mg/m³. The value obtained for the calculated formation energy is 0.195 eV/atom. The magnetic moment comes out at 0.000 μB per atom. As for the energy above the lowest structure with this stoichiometry: 0 meV per atom.

No. 7
Density functional theory data (PBE) for a geometry-optimized AgCS2N structure.

The space group is P4/mmm (No. 123) and the conventional cell measures 4.894, 4.894 and 3.966 Å, with angles of 90.00, 90.00 and 90.00 degrees. Symmetry generates all atoms from Ag at (0.000, 0.000, 0.000), C at (0.500, 0.500, 0.500), S at (0.000, 0.500, 0.000) and N at (0.000, 0.000, 0.500).

The calculated density is 3.462 Mg/m³. The magnetic moment comes out at 0.374 μB per atom. The uncorrected formation energy is 2.6952 eV per atom. As for the energy above the lowest structure with this stoichiometry: 1881 meV per atom.

No. 8
Density functional theory data (PBE) for a geometry-optimized DyCu4Ni8 structure.

The space group is I4/mmm (No. 139) and the conventional cell measures 8.293, 8.293 and 4.708 Å, with angles of 90.00, 90.00 and 90.00 degrees. Symmetry generates all atoms from Dy at (0.000, 0.000, 0.000), Cu at (0.250, 0.250, 0.250), Ni at (0.000, 0.222, 0.500) and Ni at (0.000, 0.357, 0.000).

The calculated density is 9.090 Mg/m³. The value obtained for the calculated formation energy is -0.070 eV/atom. The magnetic moment comes out at 0.134 μB per atom.

No. 9
Density functional theory data (PBE) for a geometry-optimized Ba2UAuS6 structure.

The space group is C2/m (No. 12) and the conventional cell measures 13.111, 6.889 and 6.752 Å, with angles of 90.00, 115.69 and 90.00 degrees. Symmetry generates all atoms from Ba at (0.235, 0.000, 0.213), U at (0.000, 0.500, 0.000), Au at (0.000, 0.000, 0.500), S at (0.060, 0.241, 0.795) and S at (0.203, 0.500, 0.281).

The calculated density is 5.450 Mg/m³. The magnetic moment comes out at 0.000 μB per atom. The uncorrected formation energy is -1.2821 eV per atom.

No. 10
Density functional theory data (PBE) for a geometry-optimized Nd2TiS4 structure.

The space group is P2_1/m (No. 11) and the conventional cell measures 6.789, 6.362 and 7.761 Å, with angles of 90.00, 106.58 and 90.00 degrees. Symmetry generates all atoms from Nd at (0.230, 0.250, 0.060), Nd at (0.244, 0.250, 0.559), Ti at (0.252, 0.750, 0.810), S at (0.004, 0.504, 0.255), S at (0.440, 0.750, 0.108) and S at (0.441, 0.750, 0.610).

The calculated density is 4.803 Mg/m³. The magnetic moment comes out at 0.014 μB per atom. The uncorrected formation energy is -1.6726 eV per atom.

No. 11
Density functional theory data (PBE) for a geometry-optimized Sr2SiS structure.

The space group is Fm-3m (No. 225) and the conventional cell measures 7.593, 7.593 and 7.593 Å, with angles of 90.00, 90.00 and 90.00 degrees. Symmetry generates all atoms from Sr at (0.250, 0.250, 0.250), Si at (0.000, 0.000, 0.000) and S at (0.000, 0.000, 0.500).

The calculated density is 3.572 Mg/m³. The magnetic moment comes out at 0.463 μB per atom. The uncorrected formation energy is -0.6432 eV per atom. As for the energy above the lowest structure with this stoichiometry: 43 meV per atom.

No. 12
Density functional theory data (PBE) for a geometry-optimized Mg2CoHg structure.

The space group is Pm (No. 6) and the conventional cell measures 3.046, 4.445 and 5.569 Å, with angles of 90.00, 105.41 and 90.00 degrees. Symmetry generates all atoms from Mg at (0.000, 0.000, 0.000), Mg at (0.324, 0.500, 0.663), Co at (0.585, 0.500, 0.169) and Hg at (0.722, 0.000, 0.456).

The calculated density is 7.039 Mg/m³. The value obtained for the calculated formation energy is 0.097 eV/atom. The magnetic moment comes out at 0.241 μB per atom.

| no. | volume (A^3/atom) | total DFT energy (no corrections) (eV per atom) |
| --- | --- | --- |
| 1 | 18.54 | -7.060 |
| 2 | 21.88 | -4.958 |
| 3 | 18.52 | -7.241 |
| 4 | 22.74 | -5.808 |
| 5 | 28.81 | -4.612 |
| 6 | 14.88 | -9.251 |
| 7 | 19.00 | -3.036 |
| 8 | 12.45 | -5.242 |
| 9 | 27.48 | -5.600 |
| 10 | 22.95 | -6.521 |
| 11 | 27.36 | -3.872 |
| 12 | 18.17 | -2.553 |